No. 1
MoOs2Se GGA-PBE relaxed; raw total energy = -8.81 eV/atom; crystal system = tetragonal; N(E_F) = 2.94 states/eV/f.u.; spin magnetization = 0.0 μB/f.u.; SG = P4/mmm, No. 123; theoretical density = 15.28 g/cm3
1.0
2.928 0.000 0.000
0.000 2.928 0.000
0.000 0.000 7.039
Mo Os Se
1 2 1
Direct
0.000 0.000 0.000 Mo
0.500 0.500 0.259 Os
0.500 0.500 0.741 Os
0.000 0.000 0.500 Se

***

No. 2
MoOs2Se GGA-PBE relaxed; raw total energy = -8.77 eV/atom; crystal system = monoclinic; N(E_F) = 2.51 states/eV/f.u.; spin magnetization = 0.0 μB/f.u.; SG = Cm, No. 8; theoretical density = 14.59 g/cm3
1.0
4.845 -1.465 0.000
4.845 1.465 0.000
-0.252 0.000 4.452
Mo Os Se
1 2 1
Direct
0.000 0.000 0.000 Mo
0.294 0.294 0.720 Os
0.566 0.566 0.549 Os
0.776 0.776 0.255 Se

***

No. 3
MoOsSe2 GGA-PBE relaxed; raw total energy = -6.92 eV/atom; crystal system = monoclinic; N(E_F) = 2.56 states/eV/f.u.; spin magnetization = 0.0 μB/f.u.; SG = P2/m, No. 10; theoretical density = 11.61 g/cm3
1.0
4.283 0.000 0.000
0.000 3.056 0.000
-2.119 0.000 4.853
Mo Os Se
1 1 2
Direct
0.000 0.000 0.000 Mo
0.500 0.500 0.500 Os
0.000 0.000 0.500 Se
0.500 0.500 0.000 Se